[1]
Compound: ScZn3Ni4
Source: Alexandria via LeMat-Bulk
Functional: GGA-PBE
Structure: relaxed

a b c (Å): 8.5308 5.5544 4.3889
angles (deg): 90.00 90.00 90.00
Fractional positions:
Sc 0.0000 0.0000 0.0000
Sc 0.5000 0.0000 0.0000
Zn 0.0000 0.5000 0.0000
Zn 0.2500 0.0000 0.4376
Zn 0.2500 0.5000 0.3982
Zn 0.5000 0.5000 0.0000
Zn 0.7500 0.0000 0.5624
Zn 0.7500 0.5000 0.6018
Ni 0.0000 0.2643 0.5000
Ni 0.0000 0.7357 0.5000
Ni 0.2500 0.2708 0.8939
Ni 0.2500 0.7292 0.8939
Ni 0.5000 0.2643 0.5000
Ni 0.5000 0.7357 0.5000
Ni 0.7500 0.2708 0.1061
Ni 0.7500 0.7292 0.1061

Computed properties:
Crystal system: orthorhombic
Formation energy from the elements in eV/atom: -0.315
Total energy in eV per atom: -4.474
Volume in Å³/cell: 208
Density of states at the Fermi level in states/eV/atom: 0.473

---

[2]
Compound: Sm6Zn2Ag
Source: Alexandria via LeMat-Bulk
Functional: GGA-PBE
Structure: relaxed

a b c (Å): 11.3474 11.3474 11.3474
angles (deg): 154.21 154.21 36.79
Fractional positions:
Sm 0.0868 0.5868 0.5000
Sm 0.2500 0.7500 0.5000
Sm 0.4132 0.9132 0.5000
Sm 0.5868 0.0868 0.5000
Sm 0.7500 0.2500 0.5000
Sm 0.9132 0.4132 0.5000
Zn 0.1664 0.1664 0.0000
Zn 0.8336 0.8336 0.0000
Ag 0.5000 0.5000 0.0000

Computed properties:
Crystal system: tetragonal
Formation energy from the elements in eV/atom: 0.044
Total energy in eV per atom: -3.702
Volume in Å³/cell: 276
Energy relative to the lowest polymorph listed for this composition in eV per formula unit: 1.76
Density of states at the Fermi level in states/eV/atom: 1.582

---

[3]
Compound: Mo
Source: Alexandria via LeMat-Bulk
Functional: GGA-PBE
Structure: relaxed

a b c (Å): 7.7660 7.7660 4.5200
angles (deg): 90.00 90.00 90.00
Fractional positions:
Mo 0.0319 0.3214 0.0000
Mo 0.1255 0.7996 0.5000
Mo 0.1786 0.4681 0.5000
Mo 0.2004 0.1255 0.5000
Mo 0.2996 0.6255 0.0000
Mo 0.3214 0.9681 0.0000
Mo 0.3745 0.2996 0.0000
Mo 0.4681 0.8214 0.5000
Mo 0.5319 0.1786 0.5000
Mo 0.6255 0.7004 0.0000
Mo 0.6786 0.0319 0.0000
Mo 0.7004 0.3745 0.0000
Mo 0.7996 0.8745 0.5000
Mo 0.8214 0.5319 0.5000
Mo 0.8745 0.2004 0.5000
Mo 0.9681 0.6786 0.0000

Computed properties:
Crystal system: tetragonal
Formation energy from the elements in eV/atom: 0.433
Total energy in eV per atom: -10.398
Volume in Å³/cell: 273
Energy relative to the lowest polymorph listed for this composition in eV per formula unit: 0.43
Density of states at the Fermi level in states/eV/atom: 0.972

---

[4]
Compound: Gd4Mg2H
Source: Alexandria via LeMat-Bulk
Functional: GGA-PBE
Structure: relaxed

a b c (Å): 8.9122 8.9122 8.9122
angles (deg): 148.82 148.82 44.67
Fractional positions:
Gd 0.0000 0.5000 0.5000
Gd 0.1696 0.1696 0.0000
Gd 0.5000 0.0000 0.5000
Gd 0.8304 0.8304 0.0000
Mg 0.3662 0.3662 0.0000
Mg 0.6338 0.6338 0.0000
H 0.0000 0.0000 0.0000

Computed properties:
Crystal system: tetragonal
Total energy in eV per atom: -8.984
Volume in Å³/cell: 189
Density of states at the Fermi level in states/eV/atom: 1.851